Compound: LaDyHo2S4
Source: Alexandria
Functional: PBE
Structure: relaxed

Properties
As for the symmetry: P2/m (10). For the volume, the calculation gives 176 Å³ per cell.

Geometry as CIF:
```
data_LaDyHo2S4
_chemical_formula_sum 'La1 Dy1 Ho2 S4'
_cell_length_a 6.8712
_cell_length_b 3.9146
_cell_length_c 6.9004
_cell_angle_alpha 90.00
_cell_angle_beta 108.94
_cell_angle_gamma 90.00
_symmetry_space_group_name_H-M 'P 1'
_symmetry_Int_Tables_number 1
loop_
_symmetry_equiv_pos_as_xyz
'x,y,z'
loop_
_atom_site_label
_atom_site_type_symbol
_atom_site_fract_x
_atom_site_fract_y
_atom_site_fract_z
_atom_site_occupancy
La1 La 0.0000 0.0000 0.0000 1
Dy1 Dy 0.5000 0.5000 0.0000 1
Ho1 Ho 0.0000 0.5000 0.5000 1
Ho2 Ho 0.5000 0.0000 0.5000 1
S1 S 0.2554 0.0000 0.7415 1
S2 S 0.2639 0.5000 0.2655 1
S3 S 0.7361 0.5000 0.7345 1
S4 S 0.7446 0.0000 0.2585 1
```

***

Compound: LaDyHo4S8
Source: Alexandria
Functional: PBE
Structure: relaxed

Properties
As for the symmetry: R3m (160). For the volume, the calculation gives 375 Å³ per cell.

Geometry as CIF:
```
data_LaDyHo4S8
_chemical_formula_sum 'La1 Dy1 Ho4 S8'
_cell_length_a 8.0991
_cell_length_b 8.0991
_cell_length_c 8.0991
_cell_angle_alpha 59.93
_cell_angle_beta 59.93
_cell_angle_gamma 59.93
_symmetry_space_group_name_H-M 'P 1'
_symmetry_Int_Tables_number 1
loop_
_symmetry_equiv_pos_as_xyz
'x,y,z'
loop_
_atom_site_label
_atom_site_type_symbol
_atom_site_fract_x
_atom_site_fract_y
_atom_site_fract_z
_atom_site_occupancy
La1 La 0.0000 0.0000 0.0000 1
Dy1 Dy 0.3757 0.3757 0.3757 1
Ho1 Ho 0.3757 0.3757 0.8717 1
Ho2 Ho 0.3757 0.8717 0.3757 1
Ho3 Ho 0.7495 0.7495 0.7495 1
Ho4 Ho 0.8717 0.3757 0.3757 1
S1 S 0.1367 0.1367 0.5866 1
S2 S 0.1367 0.5866 0.1367 1
S3 S 0.1378 0.1378 0.1378 1
S4 S 0.1445 0.6188 0.6188 1
S5 S 0.5866 0.1367 0.1367 1
S6 S 0.6178 0.6178 0.6178 1
S7 S 0.6188 0.1445 0.6188 1
S8 S 0.6188 0.6188 0.1445 1
```

***

Compound: La2DyHoS4
Source: Alexandria
Functional: PBE
Structure: relaxed

Properties
As for the symmetry: P2/m (10). For the volume, the calculation gives 184 Å³ per cell.

Geometry as CIF:
```
data_La2DyHoS4
_chemical_formula_sum 'La2 Dy1 Ho1 S4'
_cell_length_a 6.9133
_cell_length_b 3.9669
_cell_length_c 7.0976
_cell_angle_alpha 90.00
_cell_angle_beta 108.79
_cell_angle_gamma 90.00
_symmetry_space_group_name_H-M 'P 1'
_symmetry_Int_Tables_number 1
loop_
_symmetry_equiv_pos_as_xyz
'x,y,z'
loop_
_atom_site_label
_atom_site_type_symbol
_atom_site_fract_x
_atom_site_fract_y
_atom_site_fract_z
_atom_site_occupancy
La1 La 0.0000 0.0000 0.0000 1
La2 La 0.5000 0.5000 0.0000 1
Dy1 Dy 0.0000 0.5000 0.5000 1
Ho1 Ho 0.5000 0.0000 0.5000 1
S1 S 0.2435 0.0000 0.7285 1
S2 S 0.2587 0.5000 0.2722 1
S3 S 0.7413 0.5000 0.7278 1
S4 S 0.7565 0.0000 0.2715 1
```

***

Compound: La4DyHo3S8
Source: Alexandria
Functional: PBE
Structure: relaxed

Properties
As for the symmetry: R-3m (166). For the volume, the calculation gives 368 Å³ per cell.

Geometry as CIF:
```
data_La4DyHo3S8
_chemical_formula_sum 'La4 Dy1 Ho3 S8'
_cell_length_a 8.1191
_cell_length_b 8.1191
_cell_length_c 8.1191
_cell_angle_alpha 58.81
_cell_angle_beta 58.81
_cell_angle_gamma 58.81
_symmetry_space_group_name_H-M 'P 1'
_symmetry_Int_Tables_number 1
loop_
_symmetry_equiv_pos_as_xyz
'x,y,z'
loop_
_atom_site_label
_atom_site_type_symbol
_atom_site_fract_x
_atom_site_fract_y
_atom_site_fract_z
_atom_site_occupancy
La1 La 0.0000 0.0000 0.0000 1
La2 La 0.0000 0.5000 0.5000 1
La3 La 0.5000 0.0000 0.5000 1
La4 La 0.5000 0.5000 0.0000 1
Dy1 Dy 0.5000 0.5000 0.5000 1
Ho1 Ho 0.0000 0.0000 0.5000 1
Ho2 Ho 0.0000 0.5000 0.0000 1
Ho3 Ho 0.5000 0.0000 0.0000 1
S1 S 0.2415 0.7430 0.7430 1
S2 S 0.2423 0.2423 0.2423 1
S3 S 0.2570 0.2570 0.7585 1
S4 S 0.2570 0.7585 0.2570 1
S5 S 0.7430 0.2415 0.7430 1
S6 S 0.7430 0.7430 0.2415 1
S7 S 0.7577 0.7577 0.7577 1
S8 S 0.7585 0.2570 0.2570 1
```

***

Compound: La4Dy3HoS8
Source: Alexandria
Functional: PBE
Structure: relaxed

Properties
As for the symmetry: R-3m (166). For the volume, the calculation gives 370 Å³ per cell.

Geometry as CIF:
```
data_La4Dy3HoS8
_chemical_formula_sum 'La4 Dy3 Ho1 S8'
_cell_length_a 8.1175
_cell_length_b 8.1175
_cell_length_c 8.1175
_cell_angle_alpha 58.99
_cell_angle_beta 58.99
_cell_angle_gamma 58.99
_symmetry_space_group_name_H-M 'P 1'
_symmetry_Int_Tables_number 1
loop_
_symmetry_equiv_pos_as_xyz
'x,y,z'
loop_
_atom_site_label
_atom_site_type_symbol
_atom_site_fract_x
_atom_site_fract_y
_atom_site_fract_z
_atom_site_occupancy
La1 La 0.0000 0.0000 0.0000 1
La2 La 0.0000 0.5000 0.5000 1
La3 La 0.5000 0.0000 0.5000 1
La4 La 0.5000 0.5000 0.0000 1
Dy1 Dy 0.0000 0.0000 0.5000 1
Dy2 Dy 0.0000 0.5000 0.0000 1
Dy3 Dy 0.5000 0.0000 0.0000 1
Ho1 Ho 0.5000 0.5000 0.5000 1
S1 S 0.2430 0.2430 0.2430 1
S2 S 0.2438 0.7422 0.7422 1
S3 S 0.2578 0.2578 0.7562 1
S4 S 0.2578 0.7562 0.2578 1
S5 S 0.7422 0.2438 0.7422 1
S6 S 0.7422 0.7422 0.2438 1
S7 S 0.7562 0.2578 0.2578 1
S8 S 0.7570 0.7570 0.7570 1
```

***

Compound: LaDyHo2S6
Source: Alexandria
Functional: PBE
Structure: relaxed

Properties
As for the symmetry: R3 (146). For the volume, the calculation gives 262 Å³ per cell.

Geometry as CIF:
```
data_LaDyHo2S6
_chemical_formula_sum 'La1 Dy1 Ho2 S6'
_cell_length_a 7.3783
_cell_length_b 7.3783
_cell_length_c 7.3783
_cell_angle_alpha 56.69
_cell_angle_beta 56.69
_cell_angle_gamma 56.69
_symmetry_space_group_name_H-M 'P 1'
_symmetry_Int_Tables_number 1
loop_
_symmetry_equiv_pos_as_xyz
'x,y,z'
loop_
_atom_site_label
_atom_site_type_symbol
_atom_site_fract_x
_atom_site_fract_y
_atom_site_fract_z
_atom_site_occupancy
La1 La 0.0000 0.0000 0.0000 1
Dy1 Dy 0.4915 0.4915 0.4915 1
Ho1 Ho 0.2885 0.2885 0.2885 1
Ho2 Ho 0.7930 0.7930 0.7930 1
S1 S 0.0833 0.6650 0.4192 1
S2 S 0.1898 0.5816 0.8948 1
S3 S 0.4192 0.0833 0.6650 1
S4 S 0.5816 0.8948 0.1898 1
S5 S 0.6650 0.4192 0.0833 1
S6 S 0.8948 0.1898 0.5816 1
```

***

| no. | total magnetic moment (μB/atom) | electronic total energy (eV/f.u.) |
| --- | --- | --- |
| 1 | 0.00 | -51.329 |
| 2 | 0.00 | -88.071 |
| 3 | 0.00 | -52.201 |
| 4 | 0.00 | -104.325 |
| 5 | 0.00 | -104.437 |
| 6 | 0.00 | -64.255 |